A plane-wave DFT calculation with PBE with a Hubbard U was carried out for crystalline K2Nb4Fe2O13 at its relaxed geometry.

abc: 8.484 8.484 9.633
angles: 100.07 100.07 26.94
Element x y z (fractional)
K1 0.050 0.050 0.246
K2 0.950 0.950 0.754
Nb1 0.336 0.336 0.066
Nb2 0.381 0.381 0.418
Nb3 0.619 0.619 0.582
Nb4 0.664 0.664 0.934
Fe1 0.264 0.264 0.726
Fe2 0.736 0.736 0.274
O1 0.125 0.125 0.611
O2 0.200 0.200 0.937
O3 0.278 0.278 0.260
O4 0.339 0.339 0.582
O5 0.369 0.369 0.892
O6 0.432 0.432 0.197
O7 0.500 0.500 0.500
O8 0.568 0.568 0.803
O9 0.631 0.631 0.108
O10 0.661 0.661 0.418
O11 0.722 0.722 0.740
O12 0.800 0.800 0.063
O13 0.875 0.875 0.389

Summary:
Its electronic total energy is -7.934 eV per atom. As for the space group: C2/m, No. 12.